A relaxed NdSm2Er crystal. Source: Alexandria via LeMat-Bulk, functional PBE.

Cell: 5.784 7.348 6.351 Å, 90.00 90.00 90.00°
Space group Pmmn (No. 59, origin choice 2)
One atom of each set of equivalent atoms:
Nd 0.250 0.250 0.165 x2
Sm 0.250 0.001 0.666 x4
Er 0.250 0.750 0.167 x2

Its total moment is 0.00 μB/f.u. As for the energy above the most stable polymorph in this dataset: 8.3 meV per atom. The formation enthalpy at 0 K comes out at 0.025 eV per atom.